No. 1
Below is a geometry-optimized HfMgNbHg2 structure, with properties calculated at the PBE-GGA level.

## Properties
uncorrected energy: -3.154 eV per atom

a = 5.202 Å, b = 5.202 Å, c = 5.047 Å
α = 90.00°, β = 90.00°, γ = 90.00°
Atoms (fractional coordinates):
Hf 0.000 0.000 0.000
Mg 0.500 0.500 0.000
Nb 0.500 0.500 0.500
Hg 0.000 0.500 0.500
Hg 0.500 0.000 0.500

***

No. 2
Below is a geometry-optimized SmYFe4 structure, with properties calculated at the PBE-GGA level.

## Properties
uncorrected energy: -7.525 eV per atom

a = 5.185 Å, b = 5.185 Å, c = 5.185 Å
α = 60.00°, β = 60.00°, γ = 60.00°
Atoms (fractional coordinates):
Sm 0.000 0.000 0.000
Y 0.250 0.250 0.250
Fe 0.125 0.625 0.625
Fe 0.625 0.125 0.625
Fe 0.625 0.625 0.125
Fe 0.625 0.625 0.625

***

No. 3
Below is a geometry-optimized CuSeCl2 structure, with properties calculated at the PBE-GGA level.

## Properties
formation energy from raw total energies: 175 meV/atom
E above lowest polymorph: 0.472 eV/atom

a = 3.198 Å, b = 3.198 Å, c = 8.079 Å
α = 90.00°, β = 90.00°, γ = 90.00°
Atoms (fractional coordinates):
Cu 0.000 0.000 0.000
Se 0.500 0.500 0.183
Cl 0.000 0.000 0.414
Cl 0.500 0.500 0.828

***

No. 4
Below is a geometry-optimized Nd5YHo3 structure, with properties calculated at the PBE-GGA level.

## Properties
E above lowest polymorph: 0.306 eV/atom

a = 9.641 Å, b = 9.641 Å, c = 9.916 Å
α = 120.36°, β = 120.36°, γ = 74.93°
Atoms (fractional coordinates):
Nd 0.102 0.608 0.262
Nd 0.229 0.229 0.236
Nd 0.246 0.754 0.000
Nd 0.275 0.275 0.952
Nd 0.392 0.898 0.738
Nd 0.608 0.102 0.262
Nd 0.725 0.725 0.048
Nd 0.754 0.246 0.000
Nd 0.771 0.771 0.764
Nd 0.898 0.392 0.738
Y 0.249 0.249 0.591
Y 0.751 0.751 0.409
Ho 0.000 0.000 0.500
Ho 0.008 0.008 0.825
Ho 0.486 0.486 0.648
Ho 0.500 0.500 0.000
Ho 0.514 0.514 0.352
Ho 0.992 0.992 0.175

***

No. 5
Below is a geometry-optimized MnCrSb2 structure, with properties calculated at the PBE-GGA level.

## Properties
formation energy from raw total energies: 201 meV/atom
E above lowest polymorph: 0.170 eV/atom

a = 3.707 Å, b = 3.707 Å, c = 5.522 Å
α = 90.00°, β = 90.00°, γ = 90.00°
Atoms (fractional coordinates):
Mn 0.000 0.000 0.000
Cr 0.500 0.500 0.668
Sb 0.000 0.000 0.521
Sb 0.500 0.500 0.147

***

No. 6
Below is a geometry-optimized Pr6Y5Tm structure, with properties calculated at the PBE-GGA level.

## Properties
E above lowest polymorph: 0.000 eV/atom

a = 6.321 Å, b = 6.321 Å, c = 11.901 Å
α = 95.07°, β = 95.07°, γ = 120.00°
Atoms (fractional coordinates):
Pr 0.082 0.414 0.249
Pr 0.250 0.250 0.751
Pr 0.414 0.082 0.249
Pr 0.586 0.918 0.751
Pr 0.750 0.750 0.249
Pr 0.918 0.586 0.751
Y 0.167 0.833 0.500
Y 0.333 0.667 0.000
Y 0.500 0.500 0.500
Y 0.667 0.333 0.000
Y 0.833 0.167 0.500
Tm 0.000 0.000 0.000

***

No. 7
Below is a geometry-optimized La4SmAg structure, with properties calculated at the PBE-GGA level.

## Properties
E above lowest polymorph: 0.000 eV/atom

a = 3.779 Å, b = 3.779 Å, c = 13.947 Å
α = 90.00°, β = 90.00°, γ = 90.00°
Atoms (fractional coordinates):
La 0.000 0.000 0.138
La 0.000 0.000 0.862
La 0.500 0.500 0.320
La 0.500 0.500 0.680
Sm 0.000 0.000 0.500
Ag 0.500 0.500 0.000

***

No. 8
Below is a geometry-optimized LiSc2Ta structure, with properties calculated at the PBE-GGA level.

## Properties
E above lowest polymorph: 0.628 eV/atom

a = 10.186 Å, b = 10.186 Å, c = 10.186 Å
α = 156.80°, β = 156.80°, γ = 33.05°
Atoms (fractional coordinates):
Li 0.000 0.000 0.000
Li 0.750 0.250 0.500
Sc 0.129 0.625 0.004
Sc 0.375 0.379 0.504
Sc 0.621 0.125 0.996
Sc 0.875 0.871 0.496
Ta 0.250 0.750 0.500
Ta 0.500 0.500 0.000

***

No. 9
Below is a geometry-optimized Pr6SiPd2Br3 structure, with properties calculated at the PBE-GGA level.

## Properties
formation energy from raw total energies: -976 meV/atom

a = 7.420 Å, b = 7.420 Å, c = 7.836 Å
α = 99.12°, β = 99.12°, γ = 119.99°
Atoms (fractional coordinates):
Pr 0.094 0.427 0.785
Pr 0.237 0.237 0.213
Pr 0.427 0.094 0.785
Pr 0.573 0.906 0.215
Pr 0.763 0.763 0.787
Pr 0.906 0.573 0.215
Si 0.500 0.500 0.000
Pd 0.168 0.832 0.000
Pd 0.832 0.168 0.000
Br 0.000 0.000 0.500
Br 0.339 0.661 0.500
Br 0.661 0.339 0.500

***

No. 10
Below is a geometry-optimized YTa3O structure, with properties calculated at the PBE-GGA level.

## Properties
formation energy from raw total energies: -420 meV/atom
E above lowest polymorph: 0.000 eV/atom

a = 4.421 Å, b = 4.421 Å, c = 4.421 Å
α = 90.00°, β = 90.00°, γ = 90.00°
Atoms (fractional coordinates):
Y 0.000 0.000 0.000
Ta 0.000 0.500 0.500
Ta 0.500 0.000 0.500
Ta 0.500 0.500 0.000
O 0.500 0.500 0.500

***

No. 11
Below is a geometry-optimized Rb2SbBr6N structure, with properties calculated at the PBE-GGA level.

## Properties
formation energy from raw total energies: -492 meV/atom

a = 7.926 Å, b = 7.926 Å, c = 7.926 Å
α = 123.09°, β = 123.09°, γ = 84.73°
Atoms (fractional coordinates):
Rb 0.250 0.750 0.500
Rb 0.750 0.250 0.500
Sb 0.000 0.000 0.000
Br 0.235 0.235 0.000
Br 0.256 0.256 0.511
Br 0.256 0.744 0.000
Br 0.744 0.256 0.000
Br 0.744 0.744 0.489
Br 0.765 0.765 0.000
N 0.500 0.500 0.000

***

No. 12
Below is a geometry-optimized K2HgSbI6 structure, with properties calculated at the PBE-GGA level.

## Properties
formation energy from raw total energies: -729 meV/atom

a = 8.478 Å, b = 8.498 Å, c = 8.736 Å
α = 90.25°, β = 118.78°, γ = 119.89°
Atoms (fractional coordinates):
K 0.000 0.000 0.000
K 0.012 0.506 0.515
Hg 0.584 0.793 0.375
Sb 0.589 0.295 0.882
I 0.074 0.448 0.132
I 0.105 0.138 0.643
I 0.507 0.060 0.132
I 0.509 0.968 0.642
I 0.679 0.541 0.644
I 0.684 0.626 0.134

***

no.,size of the total moment (μB/cell),volume (Å³/atom),DOS at the Fermi energy (states/eV/f.u.)
1,0.00,27.3,6.99
2,7.26,16.4,7.99
3,0.00,20.7,0.81
4,0.00,38.1,14.11
5,5.30,19.0,2.33
6,0.00,33.8,13.43
7,0.00,33.2,10.33
8,0.00,20.5,1.80
9,0.00,29.5,8.74
10,0.00,17.3,3.87
11,2.00,33.4,0.54
12,0.00,45.3,3.57